# Ho3PdSe3 | Alexandria | PBE-GGA | optimized geometry
data_Ho3PdSe3
_chemical_formula_sum 'Ho18 Pd6 Se18'
_space_group_name_H-M_alt 'R -3'
_space_group_IT_number 148
_space_group_name_Hall '-R 3'
_cell_length_a 8.3847
_cell_length_b 8.3847
_cell_length_c 17.2284
_cell_angle_alpha 90.00
_cell_angle_beta 90.00
_cell_angle_gamma 120.00
loop_
_atom_site_label
_atom_site_type_symbol
_atom_site_fract_x
_atom_site_fract_y
_atom_site_fract_z
Ho1 Ho 0.0114 0.7286 0.2564
Pd1 Pd 0.0000 0.0000 0.3573
Se1 Se 0.0229 0.6260 0.7570
# DFT total energy	-0.417	Ry per atom